DFT (GGA-PBEsol) results for a relaxed structure of Zn3FeIr.

Calculated values
**Total magnetization**: 2.20 μB/cell
**Crystal system**: cubic
**Formation enthalpy at 0 K**: 1.143 eV/atom

a b c (Å): 4.327 4.327 4.327
angles (deg): 90.00 90.00 90.00
Space group Pm-3m (No. 221)
Unique sites:
Zn: 0.000 0.000 0.500 [3 per cell]
Fe: 0.000 0.000 0.000 [1 per cell]
Ir: 0.500 0.500 0.500 [1 per cell]

---

DFT (GGA-PBEsol) results for a relaxed structure of LiMg2Zn.

Calculated values
**Total magnetization**: 0.00 μB/cell
**Crystal system**: tetragonal
**Formation enthalpy at 0 K**: -0.057 eV/atom

a b c (Å): 4.126 4.126 8.533
angles (deg): 90.00 90.00 90.00
Space group I-4m2 (No. 119)
Unique sites:
Li: 0.000 0.000 0.000 [2 per cell]
Mg: 0.000 0.000 0.500 [2 per cell]
Mg: 0.000 0.500 0.250 [2 per cell]
Zn: 0.000 0.500 0.750 [2 per cell]

---

DFT (GGA-PBEsol) results for a relaxed structure of Zn2NiO3.

Calculated values
**Total magnetization**: 3.96 μB/cell
**Uncorrected formation energy**: -1.04 eV per atom
**Crystal system**: orthorhombic

a b c (Å): 3.000 4.221 8.960
angles (deg): 90.00 90.00 90.00
Space group Immm (No. 71)
Unique sites:
Zn: 0.000 0.000 0.166 [4 per cell]
Ni: 0.000 0.000 0.500 [2 per cell]
O: 0.000 0.500 0.162 [4 per cell]
O: 0.000 0.500 0.500 [2 per cell]